Version one
# Sr2TlIn3 PBE-GGA relaxed
data_Sr2TlIn3
_cell_length_a 3.998
_cell_length_b 5.167
_cell_length_c 9.015
_cell_angle_alpha 90.00
_cell_angle_beta 90.00
_cell_angle_gamma 90.00
_space_group_name_H-M_alt 'P m m 2'
_space_group_IT_number 25
_space_group_name_Hall 'P 2 -2'
loop_
_atom_site_label
_atom_site_fract_x
_atom_site_fract_y
_atom_site_fract_z
_atom_site_occupancy
Sr1 0.000 0.000 0.000 1
Sr2 0.000 0.500 0.499 1
Tl1 0.500 0.000 0.334 1
In1 0.500 0.000 0.670 1
In2 0.500 0.500 0.162 1
In3 0.500 0.500 0.833 1
# * D(E_F): 0.49 states/eV per atom
# * crystal system: orthorhombic

---

Version two
# Sr2TlIn3 PBE-GGA relaxed
data_Sr2TlIn3
_cell_length_a 12.042
_cell_length_b 5.134
_cell_length_c 8.176
_cell_angle_alpha 90.00
_cell_angle_beta 132.50
_cell_angle_gamma 90.00
_space_group_name_H-M_alt 'C 1 m 1'
_space_group_IT_number 8
_space_group_name_Hall 'C -2y'
loop_
_atom_site_label
_atom_site_fract_x
_atom_site_fract_y
_atom_site_fract_z
_atom_site_occupancy
Sr1 0.000 0.000 0.000 1
Sr2 0.087 0.000 0.588 1
Tl1 0.203 0.500 0.011 1
In1 0.205 0.500 0.405 1
In2 0.377 0.000 0.564 1
In3 0.385 0.000 0.190 1
# * D(E_F): 0.42 states/eV per atom
# * crystal system: monoclinic

---

Which of them is the least stable? Correct choice: version one.

---

Version one
# SrTm2In3 PBE-GGA relaxed
data_SrTm2In3
_cell_length_a 3.809
_cell_length_b 3.809
_cell_length_c 11.660
_cell_angle_alpha 90.00
_cell_angle_beta 90.00
_cell_angle_gamma 90.00
_space_group_name_H-M_alt 'P 4/m m m'
_space_group_IT_number 123
_space_group_name_Hall '-P 4 2'
loop_
_atom_site_label
_atom_site_fract_x
_atom_site_fract_y
_atom_site_fract_z
_atom_site_occupancy
Sr1 0.000 0.000 0.000 1
Tm1 0.000 0.000 0.345 1
In1 0.500 0.500 0.193 1
In2 0.500 0.500 0.500 1
# * D(E_F): 0.56 states/eV per atom
# * crystal system: tetragonal

---

Version two
# SrTm2In3 PBE-GGA relaxed
data_SrTm2In3
_cell_length_a 12.055
_cell_length_b 8.928
_cell_length_c 7.004
_cell_angle_alpha 90.00
_cell_angle_beta 90.00
_cell_angle_gamma 90.00
_space_group_name_H-M_alt 'C m c m'
_space_group_IT_number 63
_space_group_name_Hall '-C 2c 2'
loop_
_atom_site_label
_atom_site_fract_x
_atom_site_fract_y
_atom_site_fract_z
_atom_site_occupancy
Sr1 0.000 0.156 0.250 1
Tm1 0.212 0.500 0.000 1
In1 0.000 0.466 0.750 1
In2 0.143 0.203 0.750 1
# * D(E_F): 0.71 states/eV per atom
# * crystal system: orthorhombic

---

Which of them is the least stable? Correct choice: version two.

---

Version one
# SrIn2W2 PBE-GGA relaxed
data_SrIn2W2
_cell_length_a 8.687
_cell_length_b 8.687
_cell_length_c 2.902
_cell_angle_alpha 90.00
_cell_angle_beta 90.00
_cell_angle_gamma 90.00
_space_group_name_H-M_alt 'P 4/m b m'
_space_group_IT_number 127
_space_group_name_Hall '-P 4 2ab'
loop_
_atom_site_label
_atom_site_fract_x
_atom_site_fract_y
_atom_site_fract_z
_atom_site_occupancy
Sr1 0.000 0.000 0.000 1
In1 0.183 0.317 0.000 1
W1 0.105 0.605 0.500 1
# * D(E_F): 0.08 states/eV per atom
# * crystal system: tetragonal

---

Version two
# SrIn2W2 PBE-GGA relaxed
data_SrIn2W2
_cell_length_a 3.983
_cell_length_b 3.983
_cell_length_c 14.361
_cell_angle_alpha 90.00
_cell_angle_beta 90.00
_cell_angle_gamma 90.00
_space_group_name_H-M_alt 'I 4/m m m'
_space_group_IT_number 139
_space_group_name_Hall '-I 4 2'
loop_
_atom_site_label
_atom_site_fract_x
_atom_site_fract_y
_atom_site_fract_z
_atom_site_occupancy
Sr1 0.000 0.000 0.000 1
In1 0.000 0.000 0.392 1
W1 0.000 0.500 0.250 1
# * D(E_F): 0.35 states/eV per atom
# * crystal system: tetragonal

---

Which of them is the least stable? Correct choice: version one.

---

Version one
# Sr2YIn2 PBE-GGA relaxed
data_Sr2YIn2
_cell_length_a 8.918
_cell_length_b 8.918
_cell_length_c 4.383
_cell_angle_alpha 90.00
_cell_angle_beta 90.00
_cell_angle_gamma 90.00
_space_group_name_H-M_alt 'P 4/m b m'
_space_group_IT_number 127
_space_group_name_Hall '-P 4 2ab'
loop_
_atom_site_label
_atom_site_fract_x
_atom_site_fract_y
_atom_site_fract_z
_atom_site_occupancy
Sr1 0.168 0.332 0.000 1
Y1 0.000 0.000 0.500 1
In1 0.132 0.632 0.500 1
# * D(E_F): 0.49 states/eV per atom
# * crystal system: tetragonal

---

Version two
# Sr2YIn2 PBE-GGA relaxed
data_Sr2YIn2
_cell_length_a 9.722
_cell_length_b 9.722
_cell_length_c 3.582
_cell_angle_alpha 90.00
_cell_angle_beta 90.00
_cell_angle_gamma 90.00
_space_group_name_H-M_alt 'P 4/m b m'
_space_group_IT_number 127
_space_group_name_Hall '-P 4 2ab'
loop_
_atom_site_label
_atom_site_fract_x
_atom_site_fract_y
_atom_site_fract_z
_atom_site_occupancy
Sr1 0.127 0.373 0.000 1
Y1 0.000 0.000 0.000 1
In1 0.173 0.673 0.500 1
# * D(E_F): 0.70 states/eV per atom
# * crystal system: tetragonal

---

Which of them is the least stable? Correct choice: version two.

---

Version one
# Sr3YIn PBE-GGA relaxed
data_Sr3YIn
_cell_length_a 6.422
_cell_length_b 6.422
_cell_length_c 6.422
_cell_angle_alpha 90.00
_cell_angle_beta 90.00
_cell_angle_gamma 90.00
_space_group_name_H-M_alt 'P m -3 m'
_space_group_IT_number 221
_space_group_name_Hall '-P 4 2 3'
loop_
_atom_site_label
_atom_site_fract_x
_atom_site_fract_y
_atom_site_fract_z
_atom_site_occupancy
Sr1 0.000 0.000 0.500 1
Y1 0.000 0.000 0.000 1
In1 0.500 0.500 0.500 1
# * D(E_F): 1.06 states/eV per atom
# * crystal system: cubic

---

Version two
# Sr3YIn PBE-GGA relaxed
data_Sr3YIn
_cell_length_a 6.323
_cell_length_b 6.323
_cell_length_c 6.323
_cell_angle_alpha 90.00
_cell_angle_beta 90.00
_cell_angle_gamma 90.00
_space_group_name_H-M_alt 'P m -3 m'
_space_group_IT_number 221
_space_group_name_Hall '-P 4 2 3'
loop_
_atom_site_label
_atom_site_fract_x
_atom_site_fract_y
_atom_site_fract_z
_atom_site_occupancy
Sr1 0.000 0.000 0.500 1
Y1 0.500 0.500 0.500 1
In1 0.000 0.000 0.000 1
# * D(E_F): 1.33 states/eV per atom
# * crystal system: cubic

---

Which of them is the least stable? Correct choice: version one.

---

Version one
# SrY2In2 PBE-GGA relaxed
data_SrY2In2
_cell_length_a 4.894
_cell_length_b 4.894
_cell_length_c 13.905
_cell_angle_alpha 90.00
_cell_angle_beta 90.00
_cell_angle_gamma 90.00
_space_group_name_H-M_alt 'I 4/m m m'
_space_group_IT_number 139
_space_group_name_Hall '-I 4 2'
loop_
_atom_site_label
_atom_site_fract_x
_atom_site_fract_y
_atom_site_fract_z
_atom_site_occupancy
Sr1 0.000 0.000 0.000 1
Y1 0.000 0.500 0.250 1
In1 0.000 0.000 0.398 1
# * D(E_F): 1.25 states/eV per atom
# * crystal system: tetragonal

---

Version two
# SrY2In2 PBE-GGA relaxed
data_SrY2In2
_cell_length_a 9.312
_cell_length_b 9.312
_cell_length_c 3.515
_cell_angle_alpha 90.00
_cell_angle_beta 90.00
_cell_angle_gamma 90.00
_space_group_name_H-M_alt 'P 4/m b m'
_space_group_IT_number 127
_space_group_name_Hall '-P 4 2ab'
loop_
_atom_site_label
_atom_site_fract_x
_atom_site_fract_y
_atom_site_fract_z
_atom_site_occupancy
Sr1 0.000 0.000 0.000 1
Y1 0.126 0.374 0.000 1
In1 0.174 0.674 0.500 1
# * D(E_F): 0.70 states/eV per atom
# * crystal system: tetragonal

---

Version three
# SrY2In2 PBE-GGA relaxed
data_SrY2In2
_cell_length_a 5.650
_cell_length_b 5.650
_cell_length_c 11.384
_cell_angle_alpha 90.00
_cell_angle_beta 90.00
_cell_angle_gamma 90.00
_space_group_name_H-M_alt 'I 4/m m m'
_space_group_IT_number 139
_space_group_name_Hall '-I 4 2'
loop_
_atom_site_label
_atom_site_fract_x
_atom_site_fract_y
_atom_site_fract_z
_atom_site_occupancy
Sr1 0.000 0.000 0.000 1
Y1 0.000 0.000 0.344 1
In1 0.000 0.500 0.250 1
# * D(E_F): 0.78 states/eV per atom
# * crystal system: tetragonal

---

Which of them is the least stable? Correct choice: version three.

---

Version one
# SrY3In PBE-GGA relaxed
data_SrY3In
_cell_length_a 5.860
_cell_length_b 5.860
_cell_length_c 5.860
_cell_angle_alpha 90.00
_cell_angle_beta 90.00
_cell_angle_gamma 90.00
_space_group_name_H-M_alt 'P m -3 m'
_space_group_IT_number 221
_space_group_name_Hall '-P 4 2 3'
loop_
_atom_site_label
_atom_site_fract_x
_atom_site_fract_y
_atom_site_fract_z
_atom_site_occupancy
Sr1 0.000 0.000 0.000 1
Y1 0.000 0.500 0.500 1
In1 0.500 0.500 0.500 1
# * D(E_F): 1.33 states/eV per atom
# * crystal system: cubic

---

Version two
# SrY3In PBE-GGA relaxed
data_SrY3In
_cell_length_a 5.645
_cell_length_b 5.645
_cell_length_c 5.645
_cell_angle_alpha 90.00
_cell_angle_beta 90.00
_cell_angle_gamma 90.00
_space_group_name_H-M_alt 'P m -3 m'
_space_group_IT_number 221
_space_group_name_Hall '-P 4 2 3'
loop_
_atom_site_label
_atom_site_fract_x
_atom_site_fract_y
_atom_site_fract_z
_atom_site_occupancy
Sr1 0.000 0.000 0.000 1
Y1 0.000 0.000 0.500 1
In1 0.500 0.500 0.500 1
# * D(E_F): 0.46 states/eV per atom
# * crystal system: cubic

---

Which of them is the least stable? Correct choice: version two.

---

Version one
# Sr3ZnIn PBE-GGA relaxed
data_Sr3ZnIn
_cell_length_a 11.013
_cell_length_b 6.300
_cell_length_c 12.214
_cell_angle_alpha 90.00
_cell_angle_beta 118.29
_cell_angle_gamma 90.00
_space_group_name_H-M_alt 'P 1 21/c 1'
_space_group_IT_number 14
_space_group_name_Hall '-P 2ybc'
loop_
_atom_site_label
_atom_site_fract_x
_atom_site_fract_y
_atom_site_fract_z
_atom_site_occupancy
Sr1 0.030 0.169 0.153 1
Sr2 0.336 0.639 0.953 1
Sr3 0.383 0.126 0.151 1
Zn1 0.341 0.129 0.864 1
In1 0.195 0.661 0.158 1
# * D(E_F): 0.78 states/eV per atom
# * crystal system: monoclinic

---

Version two
# Sr3ZnIn PBE-GGA relaxed
data_Sr3ZnIn
_cell_length_a 6.027
_cell_length_b 6.027
_cell_length_c 6.027
_cell_angle_alpha 90.00
_cell_angle_beta 90.00
_cell_angle_gamma 90.00
_space_group_name_H-M_alt 'P m -3 m'
_space_group_IT_number 221
_space_group_name_Hall '-P 4 2 3'
loop_
_atom_site_label
_atom_site_fract_x
_atom_site_fract_y
_atom_site_fract_z
_atom_site_occupancy
Sr1 0.000 0.000 0.500 1
Zn1 0.000 0.000 0.000 1
In1 0.500 0.500 0.500 1
# * D(E_F): 1.96 states/eV per atom
# * crystal system: cubic

---

Version three
# Sr3ZnIn PBE-GGA relaxed
data_Sr3ZnIn
_cell_length_a 5.758
_cell_length_b 22.066
_cell_length_c 5.746
_cell_angle_alpha 90.00
_cell_angle_beta 90.00
_cell_angle_gamma 90.00
_space_group_name_H-M_alt 'C m c m'
_space_group_IT_number 63
_space_group_name_Hall '-C 2c 2'
loop_
_atom_site_label
_atom_site_fract_x
_atom_site_fract_y
_atom_site_fract_z
_atom_site_occupancy
Sr1 0.000 0.074 0.250 1
Sr2 0.000 0.249 0.250 1
Sr3 0.000 0.424 0.250 1
Zn1 0.000 0.341 0.750 1
In1 0.000 0.159 0.750 1
# * D(E_F): 0.74 states/eV per atom
# * crystal system: orthorhombic

---

Which of them is the least stable? Correct choice: version two.

---

Version one
# Sr4ZnIn PBE-GGA relaxed
data_Sr4ZnIn
_cell_length_a 4.030
_cell_length_b 4.030
_cell_length_c 14.502
_cell_angle_alpha 90.00
_cell_angle_beta 90.00
_cell_angle_gamma 90.00
_space_group_name_H-M_alt 'P 4/m m m'
_space_group_IT_number 123
_space_group_name_Hall '-P 4 2'
loop_
_atom_site_label
_atom_site_fract_x
_atom_site_fract_y
_atom_site_fract_z
_atom_site_occupancy
Sr1 0.000 0.000 0.130 1
Sr2 0.500 0.500 0.361 1
Zn1 0.500 0.500 0.000 1
In1 0.000 0.000 0.500 1
# * D(E_F): 0.91 states/eV per atom
# * crystal system: tetragonal

---

Version two
# Sr4ZnIn PBE-GGA relaxed
data_Sr4ZnIn
_cell_length_a 10.207
_cell_length_b 10.207
_cell_length_c 10.207
_cell_angle_alpha 90.00
_cell_angle_beta 90.00
_cell_angle_gamma 90.00
_space_group_name_H-M_alt 'F -4 3 m'
_space_group_IT_number 216
_space_group_name_Hall 'F -4 2 3'
loop_
_atom_site_label
_atom_site_fract_x
_atom_site_fract_y
_atom_site_fract_z
_atom_site_occupancy
Sr1 0.125 0.125 0.125 1
Zn1 0.250 0.250 0.750 1
In1 0.000 0.000 0.500 1
# * D(E_F): 1.36 states/eV per atom
# * crystal system: cubic

---

Which of them is the least stable? Correct choice: version two.

---

Version one
# Sr2ZnIn2 PBE-GGA relaxed
data_Sr2ZnIn2
_cell_length_a 11.954
_cell_length_b 4.848
_cell_length_c 12.074
_cell_angle_alpha 90.00
_cell_angle_beta 117.95
_cell_angle_gamma 90.00
_space_group_name_H-M_alt 'C 1 2/m 1'
_space_group_IT_number 12
_space_group_name_Hall '-C 2y'
loop_
_atom_site_label
_atom_site_fract_x
_atom_site_fract_y
_atom_site_fract_z
_atom_site_occupancy
Sr1 0.014 0.000 0.337 1
Sr2 0.192 0.000 0.109 1
Zn1 0.222 0.500 0.346 1
In1 0.014 0.500 0.880 1
In2 0.150 0.500 0.562 1
# * D(E_F): 0.74 states/eV per atom
# * crystal system: monoclinic

---

Version two
# Sr2ZnIn2 PBE-GGA relaxed
data_Sr2ZnIn2
_cell_length_a 4.027
_cell_length_b 4.859
_cell_length_c 15.498
_cell_angle_alpha 90.00
_cell_angle_beta 90.00
_cell_angle_gamma 90.00
_space_group_name_H-M_alt 'A m m 2'
_space_group_IT_number 38
_space_group_name_Hall 'A 2 -2'
loop_
_atom_site_label
_atom_site_fract_x
_atom_site_fract_y
_atom_site_fract_z
_atom_site_occupancy
Sr1 0.000 0.000 0.000 1
Sr2 0.000 0.000 0.239 1
Zn1 0.500 0.000 0.418 1
In1 0.500 0.000 0.615 1
In2 0.500 0.000 0.823 1
# * D(E_F): 0.66 states/eV per atom
# * crystal system: orthorhombic

---

Version three
# Sr2ZnIn2 PBE-GGA relaxed
data_Sr2ZnIn2
_cell_length_a 7.830
_cell_length_b 7.830
_cell_length_c 5.197
_cell_angle_alpha 90.00
_cell_angle_beta 90.00
_cell_angle_gamma 90.00
_space_group_name_H-M_alt 'P 4/m b m'
_space_group_IT_number 127
_space_group_name_Hall '-P 4 2ab'
loop_
_atom_site_label
_atom_site_fract_x
_atom_site_fract_y
_atom_site_fract_z
_atom_site_occupancy
Sr1 0.170 0.330 0.000 1
Zn1 0.000 0.000 0.500 1
In1 0.137 0.637 0.500 1
# * D(E_F): 0.76 states/eV per atom
# * crystal system: tetragonal

---

Which of them is the least stable? Correct choice: version three.